Record 1
Computed, not measured: a relaxed Ca2BeZn crystal at the PBE level of DFT.

Unit cell a=4.8946 b=4.8946 c=4.8946 alpha=120.24 beta=120.24 gamma=89.58
Sites, in units of the cell vectors:
Ca 0.0000 0.0000 0.0000
Ca 0.7500 0.2500 0.5000
Be 0.5000 0.5000 0.0000
Zn 0.2500 0.7500 0.5000

Summary:
Space group   I-4m2 (119)
Energy of formation from the pure elements   22 kJ/mol of atoms

***

Record 2
Computed, not measured: a relaxed Tb3Pm3Ni4 crystal at the PBE level of DFT.

Unit cell a=3.8939 b=7.6540 c=7.6540 alpha=90.52 beta=90.00 gamma=90.00
Sites, in units of the cell vectors:
Tb 0.0000 0.0000 0.0000
Tb 0.5000 0.3295 0.8324
Tb 0.5000 0.8324 0.3295
Pm 0.0000 0.1649 0.4979
Pm 0.0000 0.4979 0.1649
Pm 0.0000 0.6669 0.6669
Ni 0.5000 0.2075 0.2075
Ni 0.5000 0.4526 0.4526
Ni 0.5000 0.7177 0.9558
Ni 0.5000 0.9558 0.7177

Summary:
Space group   Amm2 (38)
Energy of formation from the pure elements   -26 kJ/mol of atoms

***

Record 3
Computed, not measured: a relaxed CaZrFe2 crystal at the PBE level of DFT.

Unit cell a=5.9216 b=5.9216 c=5.9216 alpha=104.47 beta=104.47 gamma=120.02
Sites, in units of the cell vectors:
Ca 0.0000 0.0000 0.0000
Ca 0.7500 0.2500 0.5000
Zr 0.2500 0.7500 0.5000
Zr 0.5000 0.5000 0.0000
Fe 0.1469 0.6250 0.0219
Fe 0.3750 0.3969 0.5219
Fe 0.6031 0.1250 0.9781
Fe 0.8750 0.8531 0.4781

Summary:
Space group   I-42d (122)
Energy of formation from the pure elements   68 kJ/mol of atoms